(1)
Below is a relaxed structure of Fe3HN, with properties calculated at the PBE level.

extended XYZ file:
```
5
Lattice="-1.464 1.448 3.045 -3.193 0.470 -1.759 -1.082 -3.346 1.070" Properties=species:S:1:pos:R:3 pbc="T T T"
Fe -0.732 0.724 1.523
Fe -0.541 -1.673 0.535
Fe -1.597 0.235 -0.879
H -2.870 -0.714 1.178
N 0.000 0.000 0.000
```

Values from the calculation:
- space-group type = No. 221
- DFT total energy (eV per atom) = -6.96
- E above lowest polymorph (meV/atom) = 0
- M_tot (μB/cell) = 4.131
- Fermi-level density of states (states/eV/f.u.) = 4.37

***

(2)
Below is a relaxed structure of CdAu2Se, with properties calculated at the PBE level.

extended XYZ file:
```
4
Lattice="-1.125 0.421 -6.606 -1.868 -3.378 -5.493 -4.623 -0.514 -4.842" Properties=species:S:1:pos:R:3 pbc="T T T"
Se -5.674 -2.586 -12.619
Cd -3.819 -1.741 -8.495
Au -1.930 -0.880 -4.292
Au -0.002 -0.001 -0.004
```

Values from the calculation:
- space-group type = No. 160
- DFT total energy (eV per atom) = -2.74
- E above lowest polymorph (meV/atom) = 37
- M_tot (μB/cell) = 0.000
- Fermi-level density of states (states/eV/f.u.) = 2.94

***

- M_tot of number 1 (Fe3HN)?
  4.131 μB/cell

***

What did the first record say?
Below is a relaxed structure of Fe3HN, with properties calculated at the PBE level.

extended XYZ file:
```
5
Lattice="-1.464 1.448 3.045 -3.193 0.470 -1.759 -1.082 -3.346 1.070" Properties=species:S:1:pos:R:3 pbc="T T T"
Fe -0.732 0.724 1.523
Fe -0.541 -1.673 0.535
Fe -1.597 0.235 -0.879
H -2.870 -0.714 1.178
N 0.000 0.000 0.000
```

Values from the calculation:
- space-group type = No. 221
- DFT total energy (eV per atom) = -6.96
- E above lowest polymorph (meV/atom) = 0
- M_tot (μB/cell) = 4.131
- Fermi-level density of states (states/eV/f.u.) = 4.37